Below is CdAsBr2N at its PBEsol-relaxed geometry, with properties calculated at the meta-GGA SCAN level.

Cell lengths 4.6490, 4.6490, 4.4333 Å; angles 90.00, 90.00, 90.00 degrees
With the nearest neighbours (Å) after each atom.
Space group P4/mmm (No. 123)
Inequivalent atoms, fractional coordinates:
Cd (0.0000, 0.0000, 0.0000) [1 per cell]  8 Br 3.21, 4 As 3.29
As (0.5000, 0.5000, 0.0000) [1 per cell]  2 N 2.22
Br (0.0000, 0.5000, 0.5000) [2 per cell]  2 N 2.32
N (0.5000, 0.5000, 0.5000) [1 per cell]  2 As 2.22, 4 Br 2.32

- Raw total energy: -18.880 eV/atom

---

Below is CdNiAsBr2 at its PBEsol-relaxed geometry, with properties calculated at the meta-GGA SCAN level.

Cell lengths 4.8795, 4.8795, 4.6385 Å; angles 90.00, 90.00, 90.00 degrees
With the nearest neighbours (Å) after each atom.
Space group P4/mmm (No. 123)
Inequivalent atoms, fractional coordinates:
Cd (0.0000, 0.0000, 0.0000) [1 per cell]  8 Br 3.37, 4 As 3.45
Ni (0.5000, 0.5000, 0.5000) [1 per cell]  2 As 2.32, 4 Br 2.44
As (0.5000, 0.5000, 0.0000) [1 per cell]  2 Ni 2.32
Br (0.0000, 0.5000, 0.5000) [2 per cell]  2 Ni 2.44

- Raw total energy: -20.997 eV/atom

---

Below is CdAsPBr2 at its PBEsol-relaxed geometry, with properties calculated at the meta-GGA SCAN level.

Cell lengths 4.9675, 4.9675, 4.9662 Å; angles 90.00, 90.00, 90.00 degrees
With the nearest neighbours (Å) after each atom.
Space group P4/mmm (No. 123)
Inequivalent atoms, fractional coordinates:
Cd (0.0000, 0.0000, 0.0000) [1 per cell]  8 Br 3.51, 4 As 3.51
As (0.5000, 0.5000, 0.0000) [1 per cell]  2 P 2.48
P (0.5000, 0.5000, 0.5000) [1 per cell]  2 As 2.48, 4 Br 2.48
Br (0.0000, 0.5000, 0.5000) [2 per cell]  2 P 2.48

- Raw total energy: -19.633 eV/atom

---

Below is CdAs2PbBr at its PBEsol-relaxed geometry, with properties calculated at the meta-GGA SCAN level.

Cell lengths 5.3895, 5.3895, 5.5556 Å; angles 90.00, 90.00, 90.00 degrees
With the nearest neighbours (Å) after each atom.
Space group P4/mmm (No. 123)
Inequivalent atoms, fractional coordinates:
Cd (0.0000, 0.0000, 0.0000) [1 per cell]  4 Br 3.81, 8 As 3.87
As (0.0000, 0.5000, 0.5000) [2 per cell]  2 Pb 2.69
Pb (0.5000, 0.5000, 0.5000) [1 per cell]  4 As 2.69, 2 Br 2.78
Br (0.5000, 0.5000, 0.0000) [1 per cell]  2 Pb 2.78

- Raw total energy: -32.533 eV/atom

---

Below is RbCdAsBr2 at its PBEsol-relaxed geometry, with properties calculated at the meta-GGA SCAN level.

Cell lengths 5.7032, 5.7032, 5.1856 Å; angles 90.00, 90.00, 90.00 degrees
With the nearest neighbours (Å) after each atom.
Space group P4/mmm (No. 123)
Inequivalent atoms, fractional coordinates:
Rb (0.0000, 0.0000, 0.0000) [1 per cell]  8 Br 3.85, 4 As 4.03
Cd (0.5000, 0.5000, 0.5000) [1 per cell]  2 As 2.59, 4 Br 2.85
As (0.5000, 0.5000, 0.0000) [1 per cell]  2 Cd 2.59
Br (0.0000, 0.5000, 0.5000) [2 per cell]  2 Cd 2.85

- Raw total energy: -22.731 eV/atom

---

Below is CdSbAs2Br at its PBEsol-relaxed geometry, with properties calculated at the meta-GGA SCAN level.

Cell lengths 5.2694, 5.2694, 5.3873 Å; angles 90.00, 90.00, 90.00 degrees
With the nearest neighbours (Å) after each atom.
Space group P4/mmm (No. 123)
Inequivalent atoms, fractional coordinates:
Cd (0.0000, 0.0000, 0.0000) [1 per cell]  4 Br 3.73, 8 As 3.77
Sb (0.5000, 0.5000, 0.5000) [1 per cell]  4 As 2.63, 2 Br 2.69
As (0.0000, 0.5000, 0.5000) [2 per cell]  2 Sb 2.63
Br (0.5000, 0.5000, 0.0000) [1 per cell]  2 Sb 2.69

- Energy above the lowest structure with this stoichiometry: 0.0 meV per atom

---

Below is CdSiAsBr2 at its PBEsol-relaxed geometry, with properties calculated at the meta-GGA SCAN level.

Cell lengths 4.9401, 4.9401, 5.0338 Å; angles 90.00, 90.00, 90.00 degrees
With the nearest neighbours (Å) after each atom.
Space group P4/mmm (No. 123)
Inequivalent atoms, fractional coordinates:
Cd (0.0000, 0.0000, 0.0000) [1 per cell]  4 As 3.49, 8 Br 3.53
Si (0.5000, 0.5000, 0.5000) [1 per cell]  4 Br 2.47, 2 As 2.52
As (0.5000, 0.5000, 0.0000) [1 per cell]  2 Si 2.52
Br (0.0000, 0.5000, 0.5000) [2 per cell]  2 Si 2.47

- Raw total energy: -19.691 eV/atom

---

Below is TaCdAs2Br at its PBEsol-relaxed geometry, with properties calculated at the meta-GGA SCAN level.

Cell lengths 4.9605, 4.9605, 4.9879 Å; angles 90.00, 90.00, 90.00 degrees
With the nearest neighbours (Å) after each atom.
Space group P4/mmm (No. 123)
Inequivalent atoms, fractional coordinates:
Ta (0.0000, 0.0000, 0.0000) [1 per cell]  4 Cd 3.51, 8 As 3.52
Cd (0.5000, 0.5000, 0.0000) [1 per cell]  2 Br 2.49
As (0.0000, 0.5000, 0.5000) [2 per cell]  2 Br 2.48
Br (0.5000, 0.5000, 0.5000) [1 per cell]  4 As 2.48, 2 Cd 2.49

- Raw total energy: -29.707 eV/atom

---

Below is CrAs2BrCl at its PBEsol-relaxed geometry, with properties calculated at the meta-GGA SCAN level.

Cell lengths 4.6500, 4.6500, 6.0465 Å; angles 90.00, 90.00, 90.00 degrees
With the nearest neighbours (Å) after each atom.
Space group P4/mmm (No. 123)
Inequivalent atoms, fractional coordinates:
Cr (0.0000, 0.0000, 0.0000) [1 per cell]  4 Br 3.29
As (0.0000, 0.5000, 0.5000) [2 per cell]  2 Cl 2.33
Br (0.5000, 0.5000, 0.0000) [1 per cell]  2 Cl 3.02, 4 Cr 3.29
Cl (0.5000, 0.5000, 0.5000) [1 per cell]  4 As 2.33

- Raw total energy: -16.368 eV/atom

---

Below is Cs2AsBrCl6 at its PBEsol-relaxed geometry, with properties calculated at the meta-GGA SCAN level.

Cell lengths 10.6819, 10.6819, 10.6819 Å; angles 90.00, 90.00, 90.00 degrees
With the nearest neighbours (Å) after each atom.
Space group Fm-3m (No. 225)
Inequivalent atoms, fractional coordinates:
Cs (0.2500, 0.2500, 0.2500) [8 per cell]  12 Cl 3.79
As (0.0000, 0.0000, 0.0000) [4 per cell]  6 Cl 2.34
Br (0.0000, 0.0000, 0.5000) [4 per cell]  6 Cl 3.00
Cl (0.0000, 0.0000, 0.2191) [24 per cell]  1 As 2.34

- Raw total energy: -17.521 eV/atom

---

Below is FeAsBr2Cl at its PBEsol-relaxed geometry, with properties calculated at the meta-GGA SCAN level.

Cell lengths 4.7237, 4.7237, 4.7846 Å; angles 90.00, 90.00, 90.00 degrees
With the nearest neighbours (Å) after each atom.
Space group P4/mmm (No. 123)
Inequivalent atoms, fractional coordinates:
Fe (0.0000, 0.0000, 0.0000) [1 per cell]  4 Br 2.36, 2 As 2.39
As (0.0000, 0.0000, 0.5000) [1 per cell]  2 Fe 2.39
Br (0.0000, 0.5000, 0.0000) [2 per cell]  2 Fe 2.36
Cl (0.5000, 0.5000, 0.5000) [1 per cell]  4 As 3.34, 8 Br 3.36

- Raw total energy: -16.885 eV/atom

---

Below is KAsBr2Cl at its PBEsol-relaxed geometry, with properties calculated at the meta-GGA SCAN level.

Cell lengths 5.7713, 5.7713, 10.8076 Å; angles 90.00, 90.00, 90.00 degrees
With the nearest neighbours (Å) after each atom.
Space group P4/mmm (No. 123)
Inequivalent atoms, fractional coordinates:
K (0.0000, 0.0000, 0.0000) [1 per cell]  4 Br 2.89
As (0.0000, 0.0000, 0.5000) [1 per cell]  4 Cl 4.08
Br (0.0000, 0.5000, 0.0000) [2 per cell]  2 K 2.89
Cl (0.5000, 0.5000, 0.5000) [1 per cell]  4 As 4.08

- Raw total energy: -14.713 eV/atom

---

Below is KAs2BrCl at its PBEsol-relaxed geometry, with properties calculated at the meta-GGA SCAN level.

Cell lengths 6.5805, 6.5805, 5.6901 Å; angles 90.00, 90.00, 90.00 degrees
With the nearest neighbours (Å) after each atom.
Space group P4/mmm (No. 123)
Inequivalent atoms, fractional coordinates:
K (0.0000, 0.0000, 0.0000) [1 per cell]  2 Br 2.85
As (0.0000, 0.5000, 0.0000) [2 per cell]  2 K 3.29
Br (0.0000, 0.0000, 0.5000) [1 per cell]  2 K 2.85
Cl (0.5000, 0.5000, 0.5000) [1 per cell]  8 As 4.35, 4 Br 4.65

- Raw total energy: -14.416 eV/atom

---

Below is LiAs2BrCl at its PBEsol-relaxed geometry, with properties calculated at the meta-GGA SCAN level.

Cell lengths 4.6640, 4.6640, 6.9345 Å; angles 90.00, 90.00, 90.00 degrees
With the nearest neighbours (Å) after each atom.
Space group P4/mmm (No. 123)
Inequivalent atoms, fractional coordinates:
Li (0.0000, 0.0000, 0.0000) [1 per cell]  4 Br 3.30
As (0.0000, 0.5000, 0.5000) [2 per cell]  2 Cl 2.33
Br (0.5000, 0.5000, 0.0000) [1 per cell]  4 Li 3.30, 2 Cl 3.47
Cl (0.5000, 0.5000, 0.5000) [1 per cell]  4 As 2.33

- Raw total energy: -13.646 eV/atom

---

Number 1: D(E_F) 2.7 states/eV/f.u.. Number 2: D(E_F) 3.1 states/eV/f.u.. Number 3: D(E_F) 3.3 states/eV/f.u.. Number 4: D(E_F) 3.6 states/eV/f.u.. Number 5: D(E_F) 0.4 states/eV/f.u.. Number 6: D(E_F) 3.9 states/eV/f.u.. Number 7: D(E_F) 2.4 states/eV/f.u.. Number 8: D(E_F) 4.7 states/eV/f.u.. Number 9: D(E_F) 2.7 states/eV/f.u.. Number 10: D(E_F) 3.2 states/eV/f.u.. Number 11: D(E_F) 2.9 states/eV/f.u.. Number 12: D(E_F) 4.5 states/eV/f.u.. Number 13: D(E_F) 10.5 states/eV/f.u.. Number 14: D(E_F) 3.5 states/eV/f.u..